(1)
LaZrCu: optimized geometry, PBE.

Cell and atoms, written as CIF:
```
data_LaZrCu
_chemical_formula_sum 'La1 Zr1 Cu1'
_space_group_name_H-M_alt 'P 1'
_space_group_IT_number 1
_cell_length_a 6.515
_cell_length_b 6.515
_cell_length_c 3.436
_cell_angle_alpha 74.71
_cell_angle_beta 74.72
_cell_angle_gamma 30.58
loop_
_space_group_symop_operation_xyz
'x,y,z'
loop_
_atom_site_label
_atom_site_type_symbol
_atom_site_fract_x
_atom_site_fract_y
_atom_site_fract_z
Cu1 Cu 0.024 0.024 0.976
Zr1 Zr 0.636 0.636 0.364
La1 La 0.340 0.340 0.660
```

Output
Calculated volume ... 71.4 Å³/cell
Energy relative to the lowest polymorph listed for this composition ... 0.054 eV per atom
Energy relative to the elements ... 0.005 eV/atom

(2)
BaPbS2: optimized geometry, PBE.

Cell and atoms, written as CIF:
```
data_BaPbS2
_chemical_formula_sum 'Ba4 Pb4 S8'
_space_group_name_H-M_alt 'P 1'
_space_group_IT_number 1
_cell_length_a 4.676
_cell_length_b 6.352
_cell_length_c 18.215
_cell_angle_alpha 90.00
_cell_angle_beta 90.00
_cell_angle_gamma 90.00
loop_
_space_group_symop_operation_xyz
'x,y,z'
loop_
_atom_site_label
_atom_site_type_symbol
_atom_site_fract_x
_atom_site_fract_y
_atom_site_fract_z
S1 S 0.250 0.309 0.676
S2 S 0.750 0.251 0.938
S3 S 0.750 0.751 0.562
Pb1 Pb 0.750 0.763 0.167
S4 S 0.250 0.249 0.438
Ba1 Ba 0.250 0.246 0.067
Ba2 Ba 0.750 0.254 0.567
Pb2 Pb 0.750 0.263 0.333
S5 S 0.750 0.191 0.176
S6 S 0.250 0.749 0.062
S7 S 0.250 0.809 0.824
Ba3 Ba 0.750 0.754 0.933
Ba4 Ba 0.250 0.746 0.433
Pb3 Pb 0.250 0.237 0.833
Pb4 Pb 0.250 0.737 0.667
S8 S 0.750 0.691 0.324
```

Output
Calculated volume ... 541.0 Å³/cell
E_form (uncorrected) ... -1.251 eV per atom

Which formula does entry 2 have?
BaPbS2